Below is an optimized crystal structure of Nd5HoTl5, with properties calculated at the PBE-GGA level.

Cell and atoms, written as POSCAR:
```
Nd5HoTl5
1.0
9.066 -2.916 0.000
9.066 2.916 0.000
-2.823 0.000 6.618
Nd Ho Tl
5 1 5
direct
0.000 0.000 0.000
0.311 0.311 0.308
0.361 0.361 0.858
0.639 0.639 0.142
0.689 0.689 0.692
0.000 0.000 0.500
0.161 0.161 0.435
0.161 0.161 0.887
0.500 0.500 0.500
0.839 0.839 0.113
0.839 0.839 0.565
```

calculated total energy	-3.82	eV per atom
calculated volume	31.815	Å³ per atom
spin magnetization	0.4	μB/f.u.
DFT formation energy	-162	meV per atom



Below is an optimized crystal structure of Nd3Ho5Tl2, with properties calculated at the PBE-GGA level.

Cell and atoms, written as POSCAR:
```
Nd3Ho5Tl2
1.0
-6.482 7.743 3.238
6.482 -7.743 3.238
6.482 7.743 -3.238
Nd Ho Tl
6 10 4
direct
0.238 0.120 0.358
0.250 0.250 0.000
0.262 0.620 0.882
0.738 0.380 0.118
0.750 0.750 0.000
0.762 0.880 0.642
0.164 0.382 0.545
0.250 0.504 0.254
0.250 0.750 0.500
0.250 0.996 0.746
0.336 0.882 0.218
0.664 0.118 0.782
0.750 0.004 0.254
0.750 0.250 0.500
0.750 0.496 0.746
0.836 0.618 0.455
0.146 0.863 0.009
0.354 0.363 0.717
0.646 0.637 0.283
0.854 0.137 0.991
```

calculated total energy	-4.11	eV per atom
calculated volume	32.503	Å³ per atom
spin magnetization	0.0	μB/f.u.
DFT formation energy	80	meV per atom